Compound: PmFe2SiO6
Source: the Alexandria database
Functional: GGA+U
Structure: optimized geometry

extended XYZ file:
```
10
Lattice="5.192 -0.003 -0.043 2.593 4.491 -0.015 2.554 1.502 4.831" Properties=species:S:1:pos:R:3 pbc="T T T"
O 5.690 4.323 3.774
O 7.114 2.893 1.020
O 4.327 4.685 1.042
O 4.163 1.359 1.035
O 3.739 2.798 3.774
O 6.023 1.882 3.720
Pm 7.727 4.477 2.840
Fe 5.169 3.036 1.948
Fe 2.550 1.505 4.679
Si 2.594 1.498 0.125
```

Calculated values
Calculated total energy ... -7.34 eV per atom